1.
B2C: relaxed, PBE.

M_tot: 0.0 μB/cell
formation energy from the elements: 0.344 eV per atom

Geometry as CIF:
```
data_B2C
_chemical_formula_sum 'B16 C8'
_symmetry_space_group_name_H-M 'C 1 m 1'
_symmetry_Int_Tables_number 8
_symmetry_space_group_name_Hall 'C -2y'
_cell_length_a 15.191
_cell_length_b 2.712
_cell_length_c 4.893
_cell_angle_alpha 90.00
_cell_angle_beta 90.07
_cell_angle_gamma 90.00
loop_
_atom_site_label
_atom_site_type_symbol
_atom_site_fract_x
_atom_site_fract_y
_atom_site_fract_z
B1 B 0.000 0.000 0.000
B2 B 0.002 0.500 0.456
B3 B 0.230 0.500 0.161
B4 B 0.239 0.000 0.656
B5 B 0.363 0.500 0.459
B6 B 0.378 0.500 0.835
B7 B 0.402 0.000 0.221
B8 B 0.469 0.500 0.650
C1 C 0.010 0.500 0.149
C2 C 0.238 0.000 0.996
C3 C 0.252 0.500 0.490
C4 C 0.340 0.000 0.954
```

2.
AsPtW2: relaxed, PBE.

M_tot: 0.0 μB/cell
formation energy from the elements: 0.313 eV per atom

Geometry as CIF:
```
data_AsPtW2
_chemical_formula_sum 'As2 Pt2 W4'
_symmetry_space_group_name_H-M 'C m m m'
_symmetry_Int_Tables_number 65
_symmetry_space_group_name_Hall '-C 2 2'
_cell_length_a 5.326
_cell_length_b 8.489
_cell_length_c 2.819
_cell_angle_alpha 90.00
_cell_angle_beta 90.00
_cell_angle_gamma 90.00
loop_
_atom_site_label
_atom_site_type_symbol
_atom_site_fract_x
_atom_site_fract_y
_atom_site_fract_z
As1 As 0.000 0.000 0.000
Pt1 Pt 0.000 0.500 0.000
W1 W 0.250 0.250 0.500
```

3.
Tb2AgSe: relaxed, PBE.

M_tot: 0.0 μB/cell
formation energy without anion corrections: -0.872 eV per atom

Geometry as CIF:
```
data_Tb2AgSe
_chemical_formula_sum 'Tb6 Ag3 Se3'
_symmetry_space_group_name_H-M 'R 3 m'
_symmetry_Int_Tables_number 160
_symmetry_space_group_name_Hall 'R 3 -2"'
_cell_length_a 3.9610
_cell_length_b 3.9610
_cell_length_c 23.0684
_cell_angle_alpha 90.00
_cell_angle_beta 90.00
_cell_angle_gamma 120.00
loop_
_atom_site_label
_atom_site_type_symbol
_atom_site_fract_x
_atom_site_fract_y
_atom_site_fract_z
Tb1 Tb 0.0000 0.0000 0.0000
Tb2 Tb 0.0000 0.0000 0.1660
Ag1 Ag 0.0000 0.0000 0.5839
Se1 Se 0.0000 0.0000 0.4149
```

4.
K3BeIr: relaxed, PBE.

M_tot: 0.0 μB/cell
formation energy from the elements: 1.200 eV per atom

Geometry as CIF:
```
data_K3BeIr
_chemical_formula_sum 'K3 Be1 Ir1'
_symmetry_space_group_name_H-M 'P m -3 m'
_symmetry_Int_Tables_number 221
_symmetry_space_group_name_Hall '-P 4 2 3'
_cell_length_a 6.122
_cell_length_b 6.122
_cell_length_c 6.122
_cell_angle_alpha 90.00
_cell_angle_beta 90.00
_cell_angle_gamma 90.00
loop_
_atom_site_label
_atom_site_type_symbol
_atom_site_fract_x
_atom_site_fract_y
_atom_site_fract_z
K1 K 0.000 0.000 0.500
Be1 Be 0.500 0.500 0.500
Ir1 Ir 0.000 0.000 0.000
```

5.
La5Nd2Dy12: relaxed, PBE.

M_tot: 0.0 μB/cell
formation energy from the elements: 0.091 eV per atom

Geometry as CIF:
```
data_La5Nd2Dy12
_chemical_formula_sum 'La5 Nd2 Dy12'
_symmetry_space_group_name_H-M 'P -1'
_symmetry_Int_Tables_number 2
_symmetry_space_group_name_Hall '-P 1'
_cell_length_a 6.854
_cell_length_b 6.891
_cell_length_c 15.224
_cell_angle_alpha 87.77
_cell_angle_beta 80.27
_cell_angle_gamma 64.89
loop_
_atom_site_label
_atom_site_type_symbol
_atom_site_fract_x
_atom_site_fract_y
_atom_site_fract_z
La1 La 0.000 0.000 0.000
La2 La 0.233 0.998 0.535
La3 La 0.425 0.946 0.117
Nd1 Nd 0.263 0.489 0.469
Dy1 Dy 0.083 0.242 0.313
Dy2 Dy 0.084 0.742 0.256
Dy3 Dy 0.122 0.514 0.884
Dy4 Dy 0.382 0.776 0.744
Dy5 Dy 0.387 0.431 0.079
Dy6 Dy 0.436 0.265 0.675
```

6.
AlSnGeS2: relaxed, PBE.

M_tot: 0.0 μB/cell
formation energy without anion corrections: 0.580 eV per atom

Geometry as CIF:
```
data_AlSnGeS2
_chemical_formula_sum 'Al1 Sn1 Ge1 S2'
_symmetry_space_group_name_H-M 'P 4/m m m'
_symmetry_Int_Tables_number 123
_symmetry_space_group_name_Hall '-P 4 2'
_cell_length_a 5.078
_cell_length_b 5.078
_cell_length_c 5.265
_cell_angle_alpha 90.00
_cell_angle_beta 90.00
_cell_angle_gamma 90.00
loop_
_atom_site_label
_atom_site_type_symbol
_atom_site_fract_x
_atom_site_fract_y
_atom_site_fract_z
Al1 Al 0.000 0.000 0.000
Sn1 Sn 0.500 0.500 0.500
Ge1 Ge 0.500 0.500 0.000
S1 S 0.000 0.500 0.500
```

7.
MnHRuW2: relaxed, PBE.

M_tot: 1.5 μB/cell
raw total energy: -9.414 eV/atom

Geometry as CIF:
```
data_MnHRuW2
_chemical_formula_sum 'Mn1 H1 Ru1 W2'
_symmetry_space_group_name_H-M 'P 4/m m m'
_symmetry_Int_Tables_number 123
_symmetry_space_group_name_Hall '-P 4 2'
_cell_length_a 3.974
_cell_length_b 3.974
_cell_length_c 3.800
_cell_angle_alpha 90.00
_cell_angle_beta 90.00
_cell_angle_gamma 90.00
loop_
_atom_site_label
_atom_site_type_symbol
_atom_site_fract_x
_atom_site_fract_y
_atom_site_fract_z
Mn1 Mn 0.000 0.000 0.000
H1 H 0.000 0.000 0.500
Ru1 Ru 0.500 0.500 0.000
W1 W 0.000 0.500 0.500
```

8.
Ho5Tl2CdIr2: relaxed, PBE.

M_tot: 0.0 μB/cell
formation energy from the elements: -0.498 eV per atom

Geometry as CIF:
```
data_Ho5Tl2CdIr2
_chemical_formula_sum 'Ho10 Tl4 Cd2 Ir4'
_symmetry_space_group_name_H-M 'P 4/m b m'
_symmetry_Int_Tables_number 127
_symmetry_space_group_name_Hall '-P 4 2ab'
_cell_length_a 12.036
_cell_length_b 12.036
_cell_length_c 3.610
_cell_angle_alpha 90.00
_cell_angle_beta 90.00
_cell_angle_gamma 90.00
loop_
_atom_site_label
_atom_site_type_symbol
_atom_site_fract_x
_atom_site_fract_y
_atom_site_fract_z
Ho1 Ho 0.000 0.500 0.000
Ho2 Ho 0.077 0.208 0.000
Tl1 Tl 0.173 0.673 0.500
Cd1 Cd 0.000 0.000 0.500
Ir1 Ir 0.130 0.370 0.500
```

9.
Pr2MoC2: relaxed, PBE.

M_tot: 0.0 μB/cell
formation energy from the elements: -0.090 eV per atom

Geometry as CIF:
```
data_Pr2MoC2
_chemical_formula_sum 'Pr8 Mo4 C8'
_symmetry_space_group_name_H-M 'C 1 2/m 1'
_symmetry_Int_Tables_number 12
_symmetry_space_group_name_Hall '-C 2y'
_cell_length_a 11.543
_cell_length_b 5.452
_cell_length_c 6.959
_cell_angle_alpha 90.00
_cell_angle_beta 118.15
_cell_angle_gamma 90.00
loop_
_atom_site_label
_atom_site_type_symbol
_atom_site_fract_x
_atom_site_fract_y
_atom_site_fract_z
Pr1 Pr 0.032 0.000 0.279
Pr2 Pr 0.183 0.500 0.126
Mo1 Mo 0.140 0.500 0.626
C1 C 0.001 0.500 0.286
C2 C 0.184 0.000 0.114
```

10.
BeGa2Ni2: relaxed, PBE.

M_tot: 0.0 μB/cell
formation energy from the elements: -0.230 eV per atom

Geometry as CIF:
```
data_BeGa2Ni2
_chemical_formula_sum 'Be2 Ga4 Ni4'
_symmetry_space_group_name_H-M 'P 4/m b m'
_symmetry_Int_Tables_number 127
_symmetry_space_group_name_Hall '-P 4 2ab'
_cell_length_a 5.726
_cell_length_b 5.726
_cell_length_c 3.757
_cell_angle_alpha 90.00
_cell_angle_beta 90.00
_cell_angle_gamma 90.00
loop_
_atom_site_label
_atom_site_type_symbol
_atom_site_fract_x
_atom_site_fract_y
_atom_site_fract_z
Be1 Be 0.000 0.000 0.000
Ga1 Ga 0.162 0.338 0.500
Ni1 Ni 0.154 0.654 0.000
```

11.
Dy3ScHg: relaxed, PBE.

M_tot: 0.0 μB/cell
formation energy from the elements: -0.103 eV per atom

Geometry as CIF:
```
data_Dy3ScHg
_chemical_formula_sum 'Dy12 Sc4 Hg4'
_symmetry_space_group_name_H-M 'C 1 2/m 1'
_symmetry_Int_Tables_number 12
_symmetry_space_group_name_Hall '-C 2y'
_cell_length_a 10.949
_cell_length_b 7.199
_cell_length_c 7.805
_cell_angle_alpha 90.00
_cell_angle_beta 110.91
_cell_angle_gamma 90.00
loop_
_atom_site_label
_atom_site_type_symbol
_atom_site_fract_x
_atom_site_fract_y
_atom_site_fract_z
Dy1 Dy 0.055 0.000 0.233
Dy2 Dy 0.160 0.252 0.639
Sc1 Sc 0.061 0.500 0.243
Hg1 Hg 0.233 0.500 0.001
```

12.
Mn2GaBSe: relaxed, PBE.

M_tot: 7.9 μB/cell
formation energy without anion corrections: -0.114 eV per atom

Geometry as CIF:
```
data_Mn2GaBSe
_chemical_formula_sum 'Mn4 Ga2 B2 Se2'
_symmetry_space_group_name_H-M 'C 1 m 1'
_symmetry_Int_Tables_number 8
_symmetry_space_group_name_Hall 'C -2y'
_cell_length_a 5.418
_cell_length_b 3.137
_cell_length_c 8.156
_cell_angle_alpha 90.00
_cell_angle_beta 102.82
_cell_angle_gamma 90.00
loop_
_atom_site_label
_atom_site_type_symbol
_atom_site_fract_x
_atom_site_fract_y
_atom_site_fract_z
Mn1 Mn 0.000 0.000 0.000
Mn2 Mn 0.246 0.000 0.739
Ga1 Ga 0.245 0.500 0.235
B1 B 0.125 0.500 0.876
Se1 Se 0.011 0.500 0.534
```